The following is a DFT calculation (PBE) of an optimized crystal structure of BiIr3Ru.

a = 4.9303 Å, b = 4.9303 Å, c = 4.9303 Å
α = 90.00°, β = 90.00°, γ = 90.00°
With the nearest neighbours (Å) after each atom.
Space group Pm-3m (No. 221)
Asymmetric unit:
1 Bi 0.0000 0.0000 0.0000  6 Ir 2.47
2 Ir 0.0000 0.0000 0.5000  2 Bi 2.47
3 Ru 0.5000 0.5000 0.5000  12 Ir 3.49

Values from the calculation:
- E above lowest polymorph: 5.48 eV per formula unit
- Calculated formation energy: 59.190 kcal/mol of atoms
- DFT total energy: -5.38 eV per atom

The following is a DFT calculation (PBE) of an optimized crystal structure of Bi2IrRu.

a = 6.1268 Å, b = 6.1268 Å, c = 12.1480 Å
α = 90.00°, β = 90.00°, γ = 90.00°
With the nearest neighbours (Å) after each atom.
Space group I-42d (No. 122)
Asymmetric unit:
1 Bi 0.2476 0.2500 0.1250  2 Ru 2.64, 2 Ir 2.65
2 Ir 0.0000 0.0000 0.5000  4 Bi 2.65
3 Ru 0.0000 0.0000 0.0000  4 Bi 2.64

Values from the calculation:
- E above lowest polymorph: 0.94 eV per formula unit
- Calculated formation energy: 17.286 kcal/mol of atoms
- DFT total energy: -5.73 eV per atom

The following is a DFT calculation (PBE) of an optimized crystal structure of BiIr3Ru.

a = 4.7467 Å, b = 4.7467 Å, c = 4.7467 Å
α = 90.00°, β = 90.00°, γ = 90.00°
With the nearest neighbours (Å) after each atom.
Space group Pm-3m (No. 221)
Asymmetric unit:
1 Bi 0.0000 0.0000 0.0000  12 Ir 3.36
2 Ir 0.0000 0.5000 0.5000  2 Ru 2.37
3 Ru 0.5000 0.5000 0.5000  6 Ir 2.37

Values from the calculation:
- E above lowest polymorph: 0.00 eV per formula unit
- Calculated formation energy: 33.936 kcal/mol of atoms
- DFT total energy: -6.48 eV per atom

The following is a DFT calculation (PBE) of an optimized crystal structure of Bi2IrRu.

a = 6.8655 Å, b = 6.8655 Å, c = 6.8655 Å
α = 90.00°, β = 90.00°, γ = 90.00°
With the nearest neighbours (Å) after each atom.
Space group Fm-3m (No. 225)
Asymmetric unit:
1 Bi 0.2500 0.2500 0.2500  4 Ru 2.97, 4 Ir 2.97
2 Ir 0.0000 0.0000 0.0000  8 Bi 2.97
3 Ru 0.0000 0.0000 0.5000  8 Bi 2.97

Values from the calculation:
- E above lowest polymorph: 0.00 eV per formula unit
- Calculated formation energy: 11.868 kcal/mol of atoms
- DFT total energy: -5.96 eV per atom

The following is a DFT calculation (PBE) of an optimized crystal structure of Bi8Ir2Ru.

a = 14.7230 Å, b = 8.5129 Å, c = 5.2887 Å
α = 90.00°, β = 92.79°, γ = 90.00°
With the nearest neighbours (Å) after each atom.
Space group C2/m (No. 12)
Asymmetric unit:
1 Bi 0.0733 0.2457 0.2490  1 Ir 2.74, 1 Ru 2.78
2 Bi 0.1332 0.0000 0.6973  1 Ir 2.64
3 Bi 0.1606 0.5000 0.7755  2 Ir 2.67-2.68, 1 Ru 2.72
4 Ir 0.1874 0.5000 0.2798  5 Bi 2.64-2.74
5 Ru 0.0000 0.5000 0.5000  6 Bi 2.72-2.78

Values from the calculation:
- Calculated formation energy: 5.663 kcal/mol of atoms
- DFT total energy: -5.03 eV per atom

The following is a DFT calculation (PBE) of an optimized crystal structure of Bi3IrRu.

a = 5.1537 Å, b = 5.1537 Å, c = 5.1537 Å
α = 90.00°, β = 90.00°, γ = 90.00°
With the nearest neighbours (Å) after each atom.
Space group Pm-3m (No. 221)
Asymmetric unit:
1 Bi 0.0000 0.0000 0.5000  2 Ru 2.58
2 Ir 0.5000 0.5000 0.5000  12 Bi 3.64
3 Ru 0.0000 0.0000 0.0000  6 Bi 2.58

Values from the calculation:
- E above lowest polymorph: 0.00 eV per formula unit
- Calculated formation energy: 23.499 kcal/mol of atoms
- DFT total energy: -4.94 eV per atom